Entry 1:
# TbPuSeS2 | Alexandria via LeMat-Bulk | GGA-PBE | relaxed
data_TbPuSeS2
_chemical_formula_sum 'Tb2 Pu2 Se2 S4'
_cell_length_a 6.095
_cell_length_b 6.146
_cell_length_c 7.404
_cell_angle_alpha 114.52
_cell_angle_beta 90.00
_cell_angle_gamma 90.00
_symmetry_space_group_name_H-M 'P 1'
_symmetry_Int_Tables_number 1
loop_
_symmetry_equiv_pos_as_xyz
'x,y,z'
loop_
_atom_site_label
_atom_site_type_symbol
_atom_site_fract_x
_atom_site_fract_y
_atom_site_fract_z
Se1 Se 0.750 0.749 0.499
Tb1 Tb 0.750 0.116 0.233
S1 S 0.500 0.750 0.000
S2 S 0.000 0.250 0.000
S3 S 0.000 0.750 0.000
Pu1 Pu 0.750 0.383 0.765
S4 S 0.500 0.250 0.000
Se2 Se 0.250 0.251 0.501
Pu2 Pu 0.250 0.617 0.235
Tb2 Tb 0.250 0.884 0.767
# ρ in g/cm3: 7.2
# Space-group type: Cmcm
# Energy relative to the elements, uncorrected in meV per atom: -1392

***

Entry 2:
# NiRuSe | Alexandria via LeMat-Bulk | GGA-PBE | relaxed
data_NiRuSe
_chemical_formula_sum 'Ni1 Ru1 Se1'
_cell_length_a 6.781
_cell_length_b 6.504
_cell_length_c 2.810
_cell_angle_alpha 83.38
_cell_angle_beta 72.31
_cell_angle_gamma 24.30
_symmetry_space_group_name_H-M 'P 1'
_symmetry_Int_Tables_number 1
loop_
_symmetry_equiv_pos_as_xyz
'x,y,z'
loop_
_atom_site_label
_atom_site_type_symbol
_atom_site_fract_x
_atom_site_fract_y
_atom_site_fract_z
Ru1 Ru 0.339 0.339 0.661
Se1 Se 0.662 0.662 0.338
Ni1 Ni 0.999 0.999 0.001
# Offset from the most stable computed form in meV/atom: 404
# ρ in g/cm3: 9.0
# Space-group type: Fmm2
# Energy relative to the elements, uncorrected in meV per atom: 556

***

Entry 3:
# ErSi2NiRh2 | Alexandria via LeMat-Bulk | GGA-PBE | relaxed
data_ErSi2NiRh2
_chemical_formula_sum 'Er1 Si2 Ni1 Rh2'
_cell_length_a 4.260
_cell_length_b 4.260
_cell_length_c 5.441
_cell_angle_alpha 90.00
_cell_angle_beta 90.00
_cell_angle_gamma 90.00
_symmetry_space_group_name_H-M 'P 1'
_symmetry_Int_Tables_number 1
loop_
_symmetry_equiv_pos_as_xyz
'x,y,z'
loop_
_atom_site_label
_atom_site_type_symbol
_atom_site_fract_x
_atom_site_fract_y
_atom_site_fract_z
Si1 Si 0.000 0.500 0.000
Rh1 Rh 0.500 0.500 0.746
Er1 Er 0.000 0.000 0.500
Rh2 Rh 0.500 0.500 0.254
Si2 Si 0.500 0.000 0.000
Ni1 Ni 0.000 0.000 0.000
# ρ in g/cm3: 8.2
# Space-group type: P4/mmm
# Energy relative to the elements, uncorrected in meV per atom: -510

***

Entry 4:
# KAsOs2 | Alexandria via LeMat-Bulk | GGA-PBE | relaxed
data_KAsOs2
_chemical_formula_sum 'K1 As1 Os2'
_cell_length_a 5.764
_cell_length_b 5.764
_cell_length_c 6.587
_cell_angle_alpha 64.79
_cell_angle_beta 64.79
_cell_angle_gamma 28.56
_symmetry_space_group_name_H-M 'P 1'
_symmetry_Int_Tables_number 1
loop_
_symmetry_equiv_pos_as_xyz
'x,y,z'
loop_
_atom_site_label
_atom_site_type_symbol
_atom_site_fract_x
_atom_site_fract_y
_atom_site_fract_z
K1 K 0.750 0.750 0.750
Os1 Os 0.554 0.554 0.347
As1 As 0.250 0.250 0.250
Os2 Os 0.946 0.946 0.153
# Calculated formation energy in meV per atom: 717
# ρ in g/cm3: 8.7
# Space-group type: C2/m

***

Entry 5:
# PmPuPtRh | Alexandria via LeMat-Bulk | GGA-PBE | relaxed
data_PmPuPtRh
_chemical_formula_sum 'Pm1 Pu1 Pt1 Rh1'
_cell_length_a 3.872
_cell_length_b 4.225
_cell_length_c 5.864
_cell_angle_alpha 90.00
_cell_angle_beta 109.28
_cell_angle_gamma 90.00
_symmetry_space_group_name_H-M 'P 1'
_symmetry_Int_Tables_number 1
loop_
_symmetry_equiv_pos_as_xyz
'x,y,z'
loop_
_atom_site_label
_atom_site_type_symbol
_atom_site_fract_x
_atom_site_fract_y
_atom_site_fract_z
Pu1 Pu 0.866 0.500 0.731
Rh1 Rh 0.405 0.000 0.810
Pm1 Pm 0.144 0.000 0.289
Pt1 Pt 0.585 0.500 0.170
# Offset from the most stable computed form in meV/atom: 0
# Calculated formation energy in meV per atom: -782
# ρ in g/cm3: 12.6
# Space-group type: Amm2

***

Entry 6:
# La15TbY4 | Alexandria via LeMat-Bulk | GGA-PBE | relaxed
data_La15TbY4
_chemical_formula_sum 'La15 Tb1 Y4'
_cell_length_a 5.218
_cell_length_b 5.218
_cell_length_c 26.090
_cell_angle_alpha 90.00
_cell_angle_beta 90.00
_cell_angle_gamma 90.00
_symmetry_space_group_name_H-M 'P 1'
_symmetry_Int_Tables_number 1
loop_
_symmetry_equiv_pos_as_xyz
'x,y,z'
loop_
_atom_site_label
_atom_site_type_symbol
_atom_site_fract_x
_atom_site_fract_y
_atom_site_fract_z
Tb1 Tb 0.000 0.000 0.000
La1 La 0.500 0.500 0.800
Y1 Y 0.000 0.000 0.200
La2 La 0.000 0.500 0.300
La3 La 0.000 0.500 0.700
Y2 Y 0.000 0.000 0.400
La4 La 0.500 0.000 0.500
La5 La 0.000 0.500 0.500
La6 La 0.500 0.500 0.000
La7 La 0.500 0.000 0.700
La8 La 0.000 0.500 0.900
La9 La 0.500 0.500 0.400
Y3 Y 0.000 0.000 0.800
La10 La 0.000 0.500 0.100
La11 La 0.500 0.000 0.100
La12 La 0.500 0.500 0.600
La13 La 0.500 0.500 0.200
La14 La 0.500 0.000 0.300
La15 La 0.500 0.000 0.900
Y4 Y 0.000 0.000 0.600
# Calculated formation energy in meV per atom: 7
# ρ in g/cm3: 6.1
# Space-group type: P4/mmm

***

Entry 7:
# SrInRu2 | Alexandria via LeMat-Bulk | GGA-PBE | relaxed
data_SrInRu2
_chemical_formula_sum 'Sr1 In1 Ru2'
_cell_length_a 6.037
_cell_length_b 6.037
_cell_length_c 6.037
_cell_angle_alpha 150.28
_cell_angle_beta 131.45
_cell_angle_gamma 57.96
_symmetry_space_group_name_H-M 'P 1'
_symmetry_Int_Tables_number 1
loop_
_symmetry_equiv_pos_as_xyz
'x,y,z'
loop_
_atom_site_label
_atom_site_type_symbol
_atom_site_fract_x
_atom_site_fract_y
_atom_site_fract_z
Sr1 Sr 0.491 0.491 0.000
Ru1 Ru 0.212 0.712 0.500
In1 In 0.781 0.281 0.500
Ru2 Ru 0.016 0.016 0.000
# Calculated formation energy in meV per atom: 368
# ρ in g/cm3: 8.3
# Space-group type: Imm2

***

Entry 8:
# LiTlSi | Alexandria via LeMat-Bulk | GGA-PBE | relaxed
data_LiTlSi
_chemical_formula_sum 'Li2 Tl2 Si2'
_cell_length_a 8.735
_cell_length_b 3.691
_cell_length_c 4.098
_cell_angle_alpha 90.00
_cell_angle_beta 84.49
_cell_angle_gamma 90.00
_symmetry_space_group_name_H-M 'P 1'
_symmetry_Int_Tables_number 1
loop_
_symmetry_equiv_pos_as_xyz
'x,y,z'
loop_
_atom_site_label
_atom_site_type_symbol
_atom_site_fract_x
_atom_site_fract_y
_atom_site_fract_z
Li1 Li 0.596 0.500 0.934
Si1 Si 0.403 0.500 0.472
Si2 Si 0.573 0.000 0.439
Tl1 Tl 0.856 0.000 0.870
Li2 Li 0.345 0.000 0.978
Tl2 Tl 0.081 0.500 0.341
# ρ in g/cm3: 6.0
# Space-group type: Pm
# Energy relative to the elements, uncorrected in meV per atom: -46

***

Entry 9:
# K2CuMo | Alexandria via LeMat-Bulk | GGA-PBE | relaxed
data_K2CuMo
_chemical_formula_sum 'K2 Cu1 Mo1'
_cell_length_a 7.060
_cell_length_b 7.060
_cell_length_c 7.060
_cell_angle_alpha 150.85
_cell_angle_beta 129.71
_cell_angle_gamma 59.18
_symmetry_space_group_name_H-M 'P 1'
_symmetry_Int_Tables_number 1
loop_
_symmetry_equiv_pos_as_xyz
'x,y,z'
loop_
_atom_site_label
_atom_site_type_symbol
_atom_site_fract_x
_atom_site_fract_y
_atom_site_fract_z
Mo1 Mo 0.436 0.436 0.000
K1 K 0.039 0.039 0.000
Cu1 Cu 0.289 0.789 0.500
K2 K 0.736 0.236 0.500
# Offset from the most stable computed form in meV/atom: 262
# Calculated formation energy in meV per atom: 1128
# ρ in g/cm3: 3.0
# Space-group type: Imm2

***

Entry 10:
# AcIn3Pd3 | Alexandria via LeMat-Bulk | GGA-PBE | relaxed
data_AcIn3Pd3
_chemical_formula_sum 'Ac2 In6 Pd6'
_cell_length_a 4.531
_cell_length_b 9.195
_cell_length_c 9.201
_cell_angle_alpha 119.97
_cell_angle_beta 90.00
_cell_angle_gamma 90.00
_symmetry_space_group_name_H-M 'P 1'
_symmetry_Int_Tables_number 1
loop_
_symmetry_equiv_pos_as_xyz
'x,y,z'
loop_
_atom_site_label
_atom_site_type_symbol
_atom_site_fract_x
_atom_site_fract_y
_atom_site_fract_z
In1 In 0.750 0.757 0.047
Pd1 Pd 0.750 0.611 0.558
Pd2 Pd 0.250 0.389 0.442
In2 In 0.750 0.289 0.243
Ac1 Ac 0.750 0.334 0.667
In3 In 0.250 0.046 0.289
In4 In 0.250 0.243 0.953
Pd3 Pd 0.750 0.441 0.052
Pd4 Pd 0.250 0.052 0.611
In5 In 0.750 0.954 0.711
In6 In 0.250 0.711 0.757
Pd5 Pd 0.750 0.948 0.389
Pd6 Pd 0.250 0.559 0.948
Ac2 Ac 0.250 0.666 0.333
# Offset from the most stable computed form in meV/atom: 0
# Calculated formation energy in meV per atom: -560
# ρ in g/cm3: 8.9
# Space-group type: P2_1/m

***

Entry 11:
# Sr3In2Pd6 | Alexandria via LeMat-Bulk | GGA-PBE | relaxed
data_Sr3In2Pd6
_chemical_formula_sum 'Sr6 In4 Pd12'
_cell_length_a 8.697
_cell_length_b 8.697
_cell_length_c 8.697
_cell_angle_alpha 109.47
_cell_angle_beta 109.47
_cell_angle_gamma 109.47
_symmetry_space_group_name_H-M 'P 1'
_symmetry_Int_Tables_number 1
loop_
_symmetry_equiv_pos_as_xyz
'x,y,z'
loop_
_atom_site_label
_atom_site_type_symbol
_atom_site_fract_x
_atom_site_fract_y
_atom_site_fract_z
In1 In 0.500 0.500 0.500
Pd1 Pd 0.341 0.671 0.671
Pd2 Pd 0.659 0.329 0.329
Pd3 Pd 0.329 0.671 0.000
Sr1 Sr 0.697 0.697 0.000
Pd4 Pd 0.671 0.671 0.341
Pd5 Pd 0.329 0.000 0.671
Sr2 Sr 0.000 0.303 0.303
Pd6 Pd 0.671 0.000 0.329
Pd7 Pd 0.000 0.329 0.671
In2 In 0.000 0.000 0.500
Pd8 Pd 0.329 0.659 0.329
Sr3 Sr 0.000 0.697 0.697
Pd9 Pd 0.000 0.671 0.329
Sr4 Sr 0.303 0.000 0.303
Pd10 Pd 0.329 0.329 0.659
Sr5 Sr 0.697 0.000 0.697
In3 In 0.000 0.500 0.000
In4 In 0.500 0.000 0.000
Pd11 Pd 0.671 0.329 0.000
Sr6 Sr 0.303 0.303 0.000
Pd12 Pd 0.671 0.341 0.671
# Calculated formation energy in meV per atom: -628
# ρ in g/cm3: 7.4
# Space-group type: Im-3m

***

Entry 12:
# AlCr2Os | Alexandria via LeMat-Bulk | GGA-PBE | relaxed
data_AlCr2Os
_chemical_formula_sum 'Al1 Cr2 Os1'
_cell_length_a 8.727
_cell_length_b 8.727
_cell_length_c 8.727
_cell_angle_alpha 17.64
_cell_angle_beta 17.64
_cell_angle_gamma 17.64
_symmetry_space_group_name_H-M 'P 1'
_symmetry_Int_Tables_number 1
loop_
_symmetry_equiv_pos_as_xyz
'x,y,z'
loop_
_atom_site_label
_atom_site_type_symbol
_atom_site_fract_x
_atom_site_fract_y
_atom_site_fract_z
Al1 Al 0.750 0.750 0.750
Cr1 Cr 0.999 0.999 0.999
Cr2 Cr 0.501 0.501 0.501
Os1 Os 0.250 0.250 0.250
# Calculated formation energy in meV per atom: 118
# ρ in g/cm3: 10.0
# Space-group type: R-3m